Sr3Tl5Cl12 | GGA-PBE | optimized geometry

Values from the calculation:
- symmetry = P-62m, No. 189
- energy relative to the lowest polymorph listed for this composition (kJ per mole of atoms) = 0.0

Unit cell a=4.4674 b=12.9053 c=12.9053 alpha=120.00 beta=90.00 gamma=90.00
With the nearest neighbours (Å) after each atom.
Fractional positions:
Sr  0.5000  0.6716  0.0000  6 Cl 2.89-2.93
Sr  0.5000  0.3284  0.3284  6 Cl 2.89-2.93
Sr  0.5000  0.0000  0.6716  6 Cl 2.89-2.93
Tl  0.0000  0.3333  0.6667  6 Cl 3.32
Tl  0.0000  0.6667  0.3333  6 Cl 3.32
Tl  0.0000  0.2920  0.0000  7 Cl 3.07-3.30
Tl  0.0000  0.7080  0.7080  7 Cl 3.07-3.30
Tl  0.0000  0.0000  0.2920  7 Cl 3.07-3.30
Cl  0.0000  0.8183  0.0000  2 Sr 2.93
Cl  0.0000  0.1817  0.1817  2 Sr 2.93
Cl  0.0000  0.0000  0.8183  2 Sr 2.93
Cl  0.0000  0.5301  0.0000  2 Sr 2.89, 1 Tl 3.07
Cl  0.0000  0.4699  0.4699  2 Sr 2.89, 1 Tl 3.07
Cl  0.0000  0.0000  0.5301  2 Sr 2.89, 1 Tl 3.07
Cl  0.5000  0.1916  0.4509  1 Sr 2.90, 2 Tl 3.20
Cl  0.5000  0.2593  0.8084  1 Sr 2.90, 2 Tl 3.20
Cl  0.5000  0.8084  0.2593  1 Sr 2.90, 2 Tl 3.20
Cl  0.5000  0.5491  0.7407  1 Sr 2.90, 2 Tl 3.20
Cl  0.5000  0.7407  0.5491  1 Sr 2.90, 2 Tl 3.20
Cl  0.5000  0.4509  0.1916  1 Sr 2.90, 2 Tl 3.20

=====

SrTlCl2 | GGA-PBE | optimized geometry

Values from the calculation:
- symmetry = P4mm, No. 99
- energy relative to the lowest polymorph listed for this composition (kJ per mole of atoms) = 23.3

Unit cell a=4.1992 b=4.2083 c=7.9234 alpha=90.00 beta=90.00 gamma=90.00
With the nearest neighbours (Å) after each atom.
Fractional positions:
Sr  0.0000  0.0000  0.3574  5 Cl 2.73-2.98
Tl  0.5000  0.5000  0.7896  5 Cl 3.46-3.56
Cl  0.0000  0.0000  0.0133  1 Sr 2.73
Cl  0.5000  0.5000  0.3397  4 Sr 2.98

=====

SrTlCl2 | GGA-PBE | optimized geometry

Values from the calculation:
- symmetry = Cmmm, No. 65
- energy relative to the lowest polymorph listed for this composition (kJ per mole of atoms) = 30.1

Unit cell a=5.0517 b=5.0519 c=4.3615 alpha=90.00 beta=90.00 gamma=90.07
With the nearest neighbours (Å) after each atom.
Fractional positions:
Sr  0.5000  0.0000  0.5000  8 Cl 3.34, 4 Tl 3.57
Tl  0.0000  0.5000  0.5000  8 Cl 3.34, 4 Sr 3.57
Cl  0.0000  0.0000  0.0000  4 Sr 3.34, 4 Tl 3.34, 4 Cl 3.57
Cl  0.5000  0.5000  0.0000  4 Tl 3.34, 4 Sr 3.34, 4 Cl 3.57

=====

SrTlCl2 | GGA-PBE | optimized geometry

Values from the calculation:
- symmetry = R-3m, No. 166
- energy relative to the lowest polymorph listed for this composition (kJ per mole of atoms) = 35.7

Unit cell a=9.5329 b=9.5329 c=9.5329 alpha=28.39 beta=28.39 gamma=28.39
With the nearest neighbours (Å) after each atom.
Fractional positions:
Sr  0.0000  0.0000  0.0000  2 Cl 2.77
Tl  0.5000  0.5000  0.5000  6 Cl 3.25
Cl  0.8992  0.8992  0.8992  1 Sr 2.77
Cl  0.1008  0.1008  0.1008  1 Sr 2.77

=====

Sr3Tl2Cl8 | GGA-PBE | optimized geometry

Values from the calculation:
- symmetry = C2/m, No. 12
- electronic total energy (eV/atom) = -3.907

Unit cell a=7.5209 b=8.9161 c=8.9161 alpha=59.46 beta=73.18 gamma=73.18
With the nearest neighbours (Å) after each atom.
Fractional positions:
Sr  0.5000  0.0000  0.0000  6 Cl 2.90-2.94
Sr  0.0000  0.7417  0.2583  6 Cl 2.87-2.98
Sr  0.0000  0.2583  0.7417  6 Cl 2.87-2.98
Tl  0.3512  0.7215  0.7215  6 Cl 3.18-3.55
Tl  0.6488  0.2785  0.2785  6 Cl 3.18-3.55
Cl  0.9334  0.3908  0.3908  2 Sr 2.87, 1 Tl 3.18
Cl  0.0666  0.6092  0.6092  2 Sr 2.87, 1 Tl 3.18
Cl  0.9070  0.8991  0.8991  3 Sr 2.94-2.98
Cl  0.0930  0.1009  0.1009  3 Sr 2.94-2.98
Cl  0.6054  0.3352  0.8882  2 Sr 2.90-2.91, 1 Tl 3.22
Cl  0.6054  0.8882  0.3352  2 Sr 2.90-2.91, 1 Tl 3.22
Cl  0.3946  0.1118  0.6649  2 Sr 2.90-2.91, 1 Tl 3.22
Cl  0.3946  0.6649  0.1118  2 Sr 2.90-2.91, 1 Tl 3.22

=====

SrTlCl4 | GGA-PBE | optimized geometry

Values from the calculation:
- symmetry = I4_1md, No. 109
- energy relative to the lowest polymorph listed for this composition (kJ per mole of atoms) = 0.0

Unit cell a=8.0422 b=8.0422 c=8.0422 alpha=107.08 beta=107.08 gamma=114.36
With the nearest neighbours (Å) after each atom.
Fractional positions:
Sr  0.2508  0.2508  0.0000  6 Cl 2.89-2.99
Sr  0.0008  0.5008  0.5000  6 Cl 2.89-2.99
Tl  0.7576  0.7576  0.0000  6 Cl 2.82-2.89
Tl  0.5076  0.0076  0.5000  6 Cl 2.82-2.89
Cl  0.2542  0.9495  0.6952  1 Tl 2.89, 2 Sr 2.89-2.91
Cl  0.7416  0.4470  0.7054  2 Tl 2.82-2.83, 1 Sr 2.99
Cl  0.6995  0.5042  0.1952  1 Tl 2.89, 2 Sr 2.89-2.91
Cl  0.1970  0.9916  0.2054  2 Tl 2.82-2.83, 1 Sr 2.99
Cl  0.3090  0.5042  0.8048  1 Tl 2.89, 2 Sr 2.89-2.91
Cl  0.7862  0.9916  0.7946  2 Tl 2.82-2.83, 1 Sr 2.99
Cl  0.7416  0.0362  0.2946  2 Tl 2.82-2.83, 1 Sr 2.99
Cl  0.2542  0.5590  0.3048  1 Tl 2.89, 2 Sr 2.89-2.91